Entry 1:
Compound: Tb2DyBeC2
Source: Alexandria
Functional: PBE
Structure: relaxed

Calculated values
**Magnetic moment**: 0.0000 μB/atom
**Volume**: 18.05 A^3/atom
**ΔE_f**: -0.9 eV/f.u.
**Crystal system**: orthorhombic
**E_tot**: -73.80 eV/cell

Cell: 5.431 10.976 3.634 Å, 90.00 90.00 90.00°
Space group Pnnm (No. 58)
One atom of each set of equivalent atoms:
1 Tb 0.003 0.205 0.000 [4 per cell]
2 Dy 0.000 0.500 0.500 [2 per cell]
3 Be 0.000 0.000 0.500 [2 per cell]
4 C 0.232 0.893 0.500 [4 per cell]

---

Entry 2:
Compound: CaNiIr2
Source: Alexandria
Functional: PBE
Structure: relaxed

Calculated values
**Magnetic moment**: 0.4025 μB/atom
**Volume**: 15.93 A^3/atom
**ΔE_f**: 1.5 eV/f.u.
**Crystal system**: cubic
**Polymorph energy (0 for the lowest one)**: 365 meV/atom
**E_tot**: -95.93 eV/cell

Cell: 6.340 6.340 6.340 Å, 90.00 90.00 90.00°
Space group Fm-3m (No. 225)
One atom of each set of equivalent atoms:
1 Ca 0.000 0.000 0.000 [4 per cell]
2 Ni 0.000 0.000 0.500 [4 per cell]
3 Ir 0.250 0.250 0.250 [8 per cell]

---

Entry 3:
Compound: ScVIn
Source: Alexandria
Functional: PBE
Structure: relaxed

Calculated values
**Magnetic moment**: 1.0073 μB/atom
**Volume**: 20.14 A^3/atom
**ΔE_f**: 0.1 eV/f.u.
**Crystal system**: tetragonal
**Polymorph energy (0 for the lowest one)**: 0 meV/atom
**E_tot**: -36.26 eV/cell

Cell: 3.577 3.577 9.443 Å, 90.00 90.00 90.00°
Space group I4mm (No. 107)
One atom of each set of equivalent atoms:
1 Sc 0.000 0.000 0.000 [2 per cell]
2 V 0.000 0.000 0.656 [2 per cell]
3 In 0.000 0.000 0.319 [2 per cell]

---

Entry 4:
Compound: HgRh2Se
Source: Alexandria
Functional: PBE
Structure: relaxed

Calculated values
**Magnetic moment**: 0.0005 μB/atom
**Formation energy (no corrections)**: 339 meV/atom
**Volume**: 17.16 A^3/atom
**Crystal system**: tetragonal
**E_tot**: -34.27 eV/cell

Cell: 3.898 3.898 9.036 Å, 90.00 90.00 90.00°
Space group I-4m2 (No. 119)
One atom of each set of equivalent atoms:
1 Hg 0.000 0.000 0.000 [2 per cell]
2 Rh 0.000 0.000 0.500 [2 per cell]
3 Rh 0.000 0.500 0.750 [2 per cell]
4 Se 0.000 0.500 0.250 [2 per cell]

---

Q: The highest magnetic moment belongs to which entry?
A: ScVIn

---

What did the fourth record say?
Compound: HgRh2Se
Source: Alexandria
Functional: PBE
Structure: relaxed

Calculated values
**Magnetic moment**: 0.0005 μB/atom
**Formation energy (no corrections)**: 339 meV/atom
**Volume**: 17.16 A^3/atom
**Crystal system**: tetragonal
**E_tot**: -34.27 eV/cell

Cell: 3.898 3.898 9.036 Å, 90.00 90.00 90.00°
Space group I-4m2 (No. 119)
One atom of each set of equivalent atoms:
1 Hg 0.000 0.000 0.000 [2 per cell]
2 Rh 0.000 0.000 0.500 [2 per cell]
3 Rh 0.000 0.500 0.750 [2 per cell]
4 Se 0.000 0.500 0.250 [2 per cell]

---

Q: Which value of E_tot does entry 1 give?
A: -73.80 eV/cell